No. 1
The following is a DFT calculation (PBE) of a relaxed TlCrTeC2 crystal.

abc: 3.9749 3.9749 5.8237
angles: 90.00 90.00 90.00
Positions (direct):
Tl 0.0000 0.0000 0.0000
Cr 0.0000 0.0000 0.5000
Te 0.5000 0.5000 0.0000
C 0.0000 0.5000 0.5000
C 0.5000 0.0000 0.5000

Density of states at the Fermi level (states/eV/cell): 4.72
ΔE_f (raw) (eV/atom): 1.596
Space-group type: P4/mmm, No. 123
E_tot (eV per atom): -5.12

***

No. 2
The following is a DFT calculation (PBE) of a relaxed CsRhPb2 crystal.

abc: 7.6569 7.6569 7.6569
angles: 90.00 90.00 90.00
Positions (direct):
Cs 0.0000 0.0000 0.0000
Cs 0.0000 0.5000 0.5000
Cs 0.5000 0.0000 0.5000
Cs 0.5000 0.5000 0.0000
Rh 0.0000 0.0000 0.5000
Rh 0.0000 0.5000 0.0000
Rh 0.5000 0.0000 0.0000
Rh 0.5000 0.5000 0.5000
Pb 0.2500 0.2500 0.2500
Pb 0.2500 0.2500 0.7500
Pb 0.2500 0.7500 0.2500
Pb 0.2500 0.7500 0.7500
Pb 0.7500 0.2500 0.2500
Pb 0.7500 0.2500 0.7500
Pb 0.7500 0.7500 0.2500
Pb 0.7500 0.7500 0.7500

Density of states at the Fermi level (states/eV/cell): 9.72
Space-group type: Fm-3m, No. 225
E_tot (eV per atom): -3.41

***

No. 3
The following is a DFT calculation (PBE) of a relaxed DyScV crystal.

abc: 3.2265 3.2265 26.8233
angles: 90.00 90.00 90.00
Positions (direct):
Dy 0.0000 0.0000 0.0633
Dy 0.0000 0.0000 0.9367
Dy 0.5000 0.5000 0.4367
Dy 0.5000 0.5000 0.5633
Sc 0.0000 0.0000 0.3399
Sc 0.0000 0.0000 0.6601
Sc 0.5000 0.5000 0.1601
Sc 0.5000 0.5000 0.8399
V 0.0000 0.0000 0.2304
V 0.0000 0.0000 0.7696
V 0.5000 0.5000 0.2696
V 0.5000 0.5000 0.7304

Density of states at the Fermi level (states/eV/cell): 12.92
Space-group type: I4/mmm, No. 139
E_tot (eV per atom): -6.50

***

No. 4
The following is a DFT calculation (PBE) of a relaxed Sc2Zn3Ga2 crystal.

abc: 4.1090 19.2282 3.1532
angles: 90.00 90.00 90.00
Positions (direct):
Sc 0.0000 0.1538 0.0000
Sc 0.0000 0.8462 0.0000
Sc 0.5000 0.3462 0.0000
Sc 0.5000 0.6538 0.0000
Zn 0.0000 0.0000 0.0000
Zn 0.0000 0.4312 0.5000
Zn 0.0000 0.5688 0.5000
Zn 0.5000 0.0688 0.5000
Zn 0.5000 0.5000 0.0000
Zn 0.5000 0.9312 0.5000
Ga 0.0000 0.2885 0.5000
Ga 0.0000 0.7115 0.5000
Ga 0.5000 0.2115 0.5000
Ga 0.5000 0.7885 0.5000

Density of states at the Fermi level (states/eV/cell): 7.71
Space-group type: Cmmm, No. 65
E_tot (eV per atom): -3.53

***

No. 5
The following is a DFT calculation (PBE) of a relaxed Tb4Nd2Dy crystal.

abc: 20.6017 20.6017 20.6017
angles: 10.00 10.00 10.00
Positions (direct):
Tb 0.1432 0.1432 0.1432
Tb 0.2866 0.2866 0.2866
Tb 0.7134 0.7134 0.7134
Tb 0.8568 0.8568 0.8568
Nd 0.4283 0.4283 0.4283
Nd 0.5717 0.5717 0.5717
Dy 0.0000 0.0000 0.0000

Density of states at the Fermi level (states/eV/cell): 8.75
Space-group type: R-3m, No. 166
E_tot (eV per atom): -4.65

***

No. 6
The following is a DFT calculation (PBE) of a relaxed EuInPt4 crystal.

abc: 5.4437 5.4437 5.4437
angles: 60.00 60.00 60.00
Positions (direct):
Eu 0.0000 0.0000 0.0000
In 0.2500 0.2500 0.2500
Pt 0.1265 0.6245 0.6245
Pt 0.6245 0.1265 0.6245
Pt 0.6245 0.6245 0.1265
Pt 0.6245 0.6245 0.6245

Density of states at the Fermi level (states/eV/cell): 14.22
Space-group type: F-43m, No. 216
E_tot (eV per atom): -6.90